No. 1
Compound: RbTiSbCl2
Source: Alexandria via LeMat-Bulk
Functional: PBE
Structure: relaxed

Cell lengths 5.9274, 5.3704, 5.9274 Å; angles 90.00, 90.00, 90.00 degrees
Last column: nearest neighbours and their distance in Å.
Element x y z (fractional)
Ti 0.0000 0.5000 0.0000  2 Sb 2.69
Sb 0.0000 0.0000 0.0000  2 Ti 2.69, 4 Cl 2.96
Cl 0.0000 0.0000 0.5000  2 Sb 2.96
Cl 0.5000 0.0000 0.0000  2 Sb 2.96
Rb 0.5000 0.5000 0.5000  8 Cl 4.00, 4 Ti 4.19

Values from the calculation:
For the density of states at the Fermi level, the calculation gives 6.2 states/eV/cell. The raw total energy comes out at -3.553 eV per atom. The calculation puts the formation energy (no corrections) at -218 meV/atom. The value obtained for the calculated volume is 37.7 Å³/atom. Its energy above the most stable polymorph in this dataset is 0.000 eV per atom.


No. 2
Compound: RbTiSbCl2
Source: Alexandria via LeMat-Bulk
Functional: PBE
Structure: relaxed

Cell lengths 5.5778, 6.2548, 5.5778 Å; angles 90.00, 90.00, 90.00 degrees
Last column: nearest neighbours and their distance in Å.
Element x y z (fractional)
Cl 0.0000 0.0000 0.5000  2 Rb 2.79
Cl 0.5000 0.0000 0.0000  2 Rb 2.79
Sb 0.5000 0.5000 0.5000  4 Ti 3.94, 8 Cl 4.19
Ti 0.0000 0.5000 0.0000  2 Rb 3.13
Rb 0.0000 0.0000 0.0000  4 Cl 2.79

Values from the calculation:
For the density of states at the Fermi level, the calculation gives 1.7 states/eV/cell. The raw total energy comes out at -2.785 eV per atom. The calculation puts the formation energy (no corrections) at 551 meV/atom. The value obtained for the calculated volume is 38.9 Å³/atom. Its energy above the most stable polymorph in this dataset is 0.769 eV per atom.


No. 3
Compound: Rb2TlSbCl6
Source: Alexandria via LeMat-Bulk
Functional: PBE
Structure: relaxed

Cell lengths 8.0502, 8.0502, 8.0502 Å; angles 60.00, 60.00, 60.00 degrees
Last column: nearest neighbours and their distance in Å.
Element x y z (fractional)
Cl 0.7665 0.2335 0.2335  1 Sb 2.66
Cl 0.2335 0.7665 0.7665  1 Sb 2.66
Cl 0.7665 0.7665 0.2335  1 Sb 2.66
Cl 0.2335 0.7665 0.2335  1 Sb 2.66
Cl 0.7665 0.2335 0.7665  1 Sb 2.66
Cl 0.2335 0.2335 0.7665  1 Sb 2.66
Rb 0.2500 0.2500 0.2500  12 Cl 4.03
Rb 0.7500 0.7500 0.7500  12 Cl 4.03
Tl 0.5000 0.5000 0.5000  6 Cl 3.03
Sb 0.0000 0.0000 0.0000  6 Cl 2.66

Values from the calculation:
For the density of states at the Fermi level, the calculation gives 0.0 states/eV/cell. The raw total energy comes out at -3.286 eV per atom. The calculation puts the formation energy (no corrections) at -1336 meV/atom. The value obtained for the calculated volume is 36.9 Å³/atom. Its energy above the most stable polymorph in this dataset is 0.043 eV per atom.


No. 4
Compound: RbTl2SbCl6
Source: Alexandria via LeMat-Bulk
Functional: PBE
Structure: relaxed

Cell lengths 7.9281, 7.9269, 8.1321 Å; angles 60.80, 60.80, 59.96 degrees
Last column: nearest neighbours and their distance in Å.
Element x y z (fractional)
Tl 0.0205 0.0205 0.9388  6 Cl 3.24-3.29
Tl 0.5336 0.5336 0.3994  6 Cl 3.24-3.32
Sb 0.3230 0.3230 0.0308  6 Cl 2.65-2.74
Cl 0.4242 0.6559 0.7855  1 Sb 2.65
Cl 0.9813 0.5679 0.2420  1 Sb 2.74
Cl 0.5671 0.2089 0.2423  1 Sb 2.74
Cl 0.2088 0.9814 0.2424  1 Sb 2.74
Cl 0.6561 0.1338 0.7861  1 Sb 2.65
Cl 0.1345 0.4240 0.7856  1 Sb 2.65
Rb 0.8125 0.8126 0.5623  6 Cl 3.24-3.36

Values from the calculation:
For the density of states at the Fermi level, the calculation gives 0.0 states/eV/cell. The raw total energy comes out at -3.255 eV per atom. The calculation puts the formation energy (no corrections) at -1164 meV/atom. The value obtained for the calculated volume is 36.6 Å³/atom.


No. 5
Compound: Rb2TlSbCl8
Source: Alexandria via LeMat-Bulk
Functional: PBE
Structure: relaxed

Cell lengths 6.1313, 10.5188, 9.5173 Å; angles 95.20, 74.25, 130.87 degrees
Last column: nearest neighbours and their distance in Å.
Element x y z (fractional)
Cl 0.2311 0.9483 0.7797  1 Sb 2.43
Cl 0.3876 0.6484 0.5945  1 Tl 3.03, 3 Rb 3.21-3.34
Cl 0.9523 0.1478 0.8484  1 Sb 2.41
Cl 0.0477 0.8522 0.1516  1 Sb 2.41
Cl 0.6124 0.3516 0.4055  1 Tl 3.03, 3 Rb 3.21-3.34
Cl 0.5148 0.7354 0.9933  1 Sb 2.42
Cl 0.7689 0.0517 0.2203  1 Sb 2.43
Cl 0.4852 0.2646 0.0067  1 Sb 2.42
Tl 0.0000 0.0000 0.5000  2 Cl 3.03
Sb 0.0000 0.0000 0.0000  6 Cl 2.41-2.43
Rb 0.2909 0.4719 0.2978  6 Cl 3.21-3.56
Rb 0.7091 0.5281 0.7022  6 Cl 3.21-3.56

Values from the calculation:
The raw total energy comes out at -3.088 eV per atom. The calculation puts the formation energy (no corrections) at -1155 meV/atom. The value obtained for the calculated volume is 37.0 Å³/atom.


No. 6
Compound: Rb2TlSbCl6
Source: Alexandria via LeMat-Bulk
Functional: PBE
Structure: relaxed

Cell lengths 7.7203, 8.1697, 11.1111 Å; angles 90.00, 89.74, 90.00 degrees
Last column: nearest neighbours and their distance in Å.
Element x y z (fractional)
Cl 0.6092 0.0393 0.2727  1 Sb 2.68
Cl 0.1719 0.2263 0.0615  1 Sb 2.69
Cl 0.8908 0.5393 0.2273  1 Sb 2.68
Cl 0.6719 0.2737 0.5615  1 Sb 2.69
Cl 0.3281 0.7263 0.4385  1 Sb 2.69
Cl 0.3908 0.9607 0.7273  1 Sb 2.68
Cl 0.7196 0.3200 0.9488  1 Sb 2.68
Cl 0.1092 0.4607 0.7727  1 Sb 2.68
Cl 0.2196 0.1800 0.4488  1 Sb 2.68
Cl 0.2804 0.6800 0.0512  1 Sb 2.68
Cl 0.7804 0.8200 0.5512  1 Sb 2.68
Cl 0.8281 0.7737 0.9385  1 Sb 2.69
Tl 0.0000 0.5000 0.5000  6 Cl 3.16-3.21
Tl 0.5000 0.0000 0.0000  6 Cl 3.16-3.21
Rb 0.5248 0.5710 0.7514  6 Cl 3.34-3.60
Rb 0.9752 0.0710 0.7486  6 Cl 3.34-3.60
Rb 0.0248 0.9290 0.2514  6 Cl 3.34-3.60
Rb 0.4752 0.4290 0.2486  6 Cl 3.34-3.60
Sb 0.0000 0.5000 0.0000  6 Cl 2.68-2.69
Sb 0.5000 0.0000 0.5000  6 Cl 2.68-2.69

Values from the calculation:
For the density of states at the Fermi level, the calculation gives 0.0 states/eV/cell. The raw total energy comes out at -3.329 eV per atom. The calculation puts the formation energy (no corrections) at -1379 meV/atom. The value obtained for the calculated volume is 35.0 Å³/atom. Its energy above the most stable polymorph in this dataset is 0.000 eV per atom.


No. 7
Compound: RbVSbCl2
Source: Alexandria via LeMat-Bulk
Functional: PBE
Structure: relaxed

Cell lengths 5.4606, 7.1562, 5.4606 Å; angles 90.00, 90.00, 90.00 degrees
Last column: nearest neighbours and their distance in Å.
Element x y z (fractional)
V 0.5000 0.5000 0.5000  4 Rb 3.86
Cl 0.0000 0.0000 0.5000  2 Sb 2.73
Cl 0.5000 0.0000 0.0000  2 Sb 2.73
Sb 0.0000 0.0000 0.0000  4 Cl 2.73
Rb 0.0000 0.5000 0.0000  2 Sb 3.58, 4 V 3.86

Values from the calculation:
For the density of states at the Fermi level, the calculation gives 3.4 states/eV/cell. The raw total energy comes out at -3.138 eV per atom. The calculation puts the formation energy (no corrections) at 442 meV/atom. The value obtained for the calculated volume is 42.7 Å³/atom.


No. 8
Compound: Rb2YSbCl
Source: Alexandria via LeMat-Bulk
Functional: PBE
Structure: relaxed

Cell lengths 7.5322, 5.0590, 7.5322 Å; angles 90.00, 90.00, 90.00 degrees
Last column: nearest neighbours and their distance in Å.
Element x y z (fractional)
Sb 0.5000 0.5000 0.5000  8 Rb 4.54, 2 Sb 5.06
Rb 0.0000 0.0000 0.5000  2 Y 3.77
Rb 0.5000 0.0000 0.0000  2 Y 3.77
Cl 0.0000 0.5000 0.0000  2 Y 2.53
Y 0.0000 0.0000 0.0000  2 Cl 2.53

Values from the calculation:
For the density of states at the Fermi level, the calculation gives 5.4 states/eV/cell. The raw total energy comes out at -2.851 eV per atom. The calculation puts the formation energy (no corrections) at 23 meV/atom. The value obtained for the calculated volume is 57.4 Å³/atom.


No. 9
Compound: Rb2YSbCl6
Source: Alexandria via LeMat-Bulk
Functional: PBE
Structure: relaxed

Cell lengths 7.5712, 7.5712, 8.5006 Å; angles 63.56, 63.56, 90.00 degrees
Last column: nearest neighbours and their distance in Å.
Element x y z (fractional)
Y 0.5000 0.5000 0.0000  6 Cl 2.63
Cl 0.7459 0.2541 0.0000  1 Y 2.63, 1 Sb 2.72
Cl 0.2541 0.2541 0.0000  1 Y 2.63, 1 Sb 2.72
Cl 0.2541 0.7459 0.0000  1 Y 2.63, 1 Sb 2.72
Cl 0.6995 0.6995 0.6011  1 Y 2.63
Cl 0.7459 0.7459 0.0000  1 Y 2.63, 1 Sb 2.72
Cl 0.3005 0.3005 0.3989  1 Y 2.63
Rb 0.2500 0.7500 0.5000  12 Cl 3.84-4.25
Rb 0.7500 0.2500 0.5000  12 Cl 3.84-4.25
Sb 0.0000 0.0000 0.0000  4 Cl 2.72

Values from the calculation:
For the density of states at the Fermi level, the calculation gives 0.0 states/eV/cell. The raw total energy comes out at -3.960 eV per atom. The calculation puts the formation energy (no corrections) at -1600 meV/atom. The value obtained for the calculated volume is 37.8 Å³/atom.


No. 10
Compound: Rb2ZnSbCl6
Source: Alexandria via LeMat-Bulk
Functional: PBE
Structure: relaxed

Cell lengths 7.5236, 7.5235, 7.5009 Å; angles 59.79, 59.79, 90.12 degrees
Last column: nearest neighbours and their distance in Å.
Element x y z (fractional)
Cl 0.2462 0.7542 0.0000  1 Zn 2.62, 1 Sb 2.71
Cl 0.7553 0.7548 0.0003  1 Zn 2.60, 1 Sb 2.71
Cl 0.7538 0.2458 0.0000  1 Zn 2.62, 1 Sb 2.71
Cl 0.2447 0.2452 0.9997  1 Zn 2.60, 1 Sb 2.71
Cl 0.2384 0.2384 0.5235  1 Zn 2.51, 1 Sb 2.76
Cl 0.7616 0.7616 0.4765  1 Zn 2.51, 1 Sb 2.76
Zn 0.0000 0.0000 0.0000  6 Cl 2.51-2.62
Rb 0.2501 0.7499 0.5000  12 Cl 3.73-3.77
Rb 0.7499 0.2501 0.5000  12 Cl 3.73-3.77
Sb 0.5000 0.5000 0.0000  6 Cl 2.71-2.76

Values from the calculation:
For the density of states at the Fermi level, the calculation gives 2.6 states/eV/cell. The raw total energy comes out at -3.092 eV per atom. The calculation puts the formation energy (no corrections) at -1251 meV/atom. The value obtained for the calculated volume is 29.8 Å³/atom.


Q: raw total energy of number 3 (Rb2TlSbCl6)?
A: -3.286 eV per atom


Q: The lowest raw total energy belongs to which entry?
A: Rb2YSbCl6